[1]
Computed, not measured: NiRhSe after structural relaxation at the PBE level of DFT.

Values from the calculation:
**Formation energy (no corrections)**: 0.137 eV/atom
**Total energy**: -16.2 eV per formula unit
**Density of states at the Fermi level**: 3.7 states/eV/cell

a = 3.0293 Å, b = 3.0293 Å, c = 5.5252 Å
α = 90.00°, β = 90.00°, γ = 120.00°
Space group P3m1 (No. 156)
Symmetry-distinct sites (fractional):
1 Ni 0.0000 0.0000 0.0000 x1
2 Rh 0.6667 0.3333 0.3553 x1
3 Se 0.3333 0.6667 0.7036 x1


[2]
Computed, not measured: NbPdBr3 after structural relaxation at the PBE level of DFT.

Values from the calculation:
**Formation energy (no corrections)**: 0.147 eV/atom
**Total energy**: -19.5 eV per formula unit
**Density of states at the Fermi level**: 3.7 states/eV/cell

a = 5.157 Å, b = 5.157 Å, c = 5.157 Å
α = 90.00°, β = 90.00°, γ = 90.00°
Space group Pm-3m (No. 221)
Symmetry-distinct sites (fractional):
1 Nb 0.000 0.000 0.000 x1
2 Pd 0.500 0.500 0.500 x1
3 Br 0.000 0.000 0.500 x3


[3]
Computed, not measured: K2IrI after structural relaxation at the PBE level of DFT.

Values from the calculation:
**Formation energy (no corrections)**: 0.400 eV/atom
**Total energy**: -11.0 eV per formula unit
**Density of states at the Fermi level**: 0.0 states/eV/cell

a = 9.131 Å, b = 9.131 Å, c = 8.558 Å
α = 90.00°, β = 90.00°, γ = 90.00°
Space group I-42d (No. 122)
Symmetry-distinct sites (fractional):
1 K 0.244 0.250 0.125 x8
2 Ir 0.000 0.000 0.000 x4
3 I 0.000 0.000 0.500 x4


[4]
Computed, not measured: AsOs2N after structural relaxation at the PBE level of DFT.

Values from the calculation:
**Formation energy (no corrections)**: 0.511 eV/atom
**Total energy**: -33.4 eV per formula unit
**Density of states at the Fermi level**: 9.2 states/eV/cell

a = 5.041 Å, b = 5.041 Å, c = 9.934 Å
α = 90.00°, β = 90.00°, γ = 90.00°
Space group I-42d (No. 122)
Symmetry-distinct sites (fractional):
1 As 0.000 0.000 0.000 x4
2 Os 0.169 0.250 0.625 x8
3 N 0.000 0.000 0.500 x4


[5]
Computed, not measured: ReAg2F6 after structural relaxation at the PBE level of DFT.

Values from the calculation:
**Formation energy (no corrections)**: -1.594 eV/atom
**Total energy**: -43.7 eV per formula unit

a = 6.199 Å, b = 6.043 Å, c = 11.048 Å
α = 90.00°, β = 124.08°, γ = 90.00°
Space group P2_1/c (No. 14)
Symmetry-distinct sites (fractional):
1 Re 0.000 0.000 0.000 x2
2 Ag 0.289 0.000 0.789 x4
3 F 0.018 0.186 0.154 x4
4 F 0.274 0.170 0.000 x4
5 F 0.290 0.686 0.654 x4


[6]
Computed, not measured: Co2Pt after structural relaxation at the PBE level of DFT.

Values from the calculation:
**Energy of formation from the pure elements**: -0.042 eV per atom
**Total energy**: -20.4 eV per formula unit
**Density of states at the Fermi level**: 11.9 states/eV/cell

a = 9.585 Å, b = 2.667 Å, c = 6.179 Å
α = 90.00°, β = 104.17°, γ = 90.00°
Space group Cm (No. 8)
Symmetry-distinct sites (fractional):
1 Co 0.000 0.000 0.000 x2
2 Co 0.059 0.000 0.619 x2
3 Co 0.172 0.500 0.355 x2
4 Co 0.341 0.000 0.675 x2
5 Pt 0.219 0.500 0.942 x2
6 Pt 0.397 0.000 0.294 x2